[1]
This record from Alexandria describes Tb2Te3F after structural relaxation. The functional is GGA-PBE.

a b c (Å): 4.1538 13.1236 11.6993
angles (deg): 90.00 90.00 90.00
With the nearest neighbours (Å) after each atom.
Positions (direct):
Tb  0.2500  0.6755  0.4396  2 F 2.32
Tb  0.7500  0.3245  0.5604  2 F 2.32
Tb  0.7500  0.1755  0.0604  2 F 2.32
Tb  0.2500  0.8245  0.9396  2 F 2.32
Tb  0.2500  0.0241  0.3036  1 F 2.43
Tb  0.7500  0.9759  0.6964  1 F 2.43
Tb  0.7500  0.5241  0.1964  1 F 2.43
Tb  0.2500  0.4759  0.8036  1 F 2.43
Te  0.2500  0.3805  0.0719  5 Tb 3.16-3.40, 1 F 3.34
Te  0.7500  0.6195  0.9281  5 Tb 3.16-3.40, 1 F 3.34
Te  0.7500  0.8805  0.4281  5 Tb 3.16-3.40, 1 F 3.34
Te  0.2500  0.1195  0.5719  5 Tb 3.16-3.40, 1 F 3.34
Te  0.2500  0.6961  0.1674  4 Tb 3.09-3.20, 2 F 3.22
Te  0.7500  0.3039  0.8326  4 Tb 3.09-3.20, 2 F 3.22
Te  0.7500  0.1961  0.3326  4 Tb 3.09-3.20, 2 F 3.22
Te  0.2500  0.8039  0.6674  4 Tb 3.09-3.20, 2 F 3.22
Te  0.2500  0.4366  0.3796  3 F 3.12-3.30, 5 Tb 3.20-3.31
Te  0.7500  0.5634  0.6204  3 F 3.12-3.30, 5 Tb 3.20-3.31
Te  0.7500  0.9366  0.1204  3 F 3.12-3.30, 5 Tb 3.20-3.31
Te  0.2500  0.0634  0.8796  3 F 3.12-3.30, 5 Tb 3.20-3.31
F  0.2500  0.1320  0.1349  3 Tb 2.32-2.43
F  0.7500  0.8680  0.8651  3 Tb 2.32-2.43
F  0.7500  0.6320  0.3651  3 Tb 2.32-2.43
F  0.2500  0.3680  0.6349  3 Tb 2.32-2.43

Properties
total magnetic moment	0.0	μB per cell
energy above the lowest structure with this stoichiometry	0.0	meV per atom
crystal system	orthorhombic
E_tot	-5.206	eV/atom
uncorrected formation energy	-1780	meV/atom

[2]
This record from Alexandria describes Li3ZrCu after structural relaxation. The functional is GGA-PBE.

a b c (Å): 4.4479 4.4479 4.4479
angles (deg): 90.00 90.00 90.00
With the nearest neighbours (Å) after each atom.
Positions (direct):
Cu  0.0000  0.0000  0.0000  6 Li 2.22
Zr  0.5000  0.5000  0.5000  12 Li 3.15
Li  0.0000  0.5000  0.0000  2 Cu 2.22
Li  0.0000  0.0000  0.5000  2 Cu 2.22
Li  0.5000  0.0000  0.0000  2 Cu 2.22

Properties
total magnetic moment	1.5	μB per cell
energy above the lowest structure with this stoichiometry	0.0	meV per atom
crystal system	cubic
formation energy from the elements	0.53	eV/atom
E_tot	-3.152	eV/atom

[3]
This record from Alexandria describes Lu2HfO after structural relaxation. The functional is GGA-PBE.

a b c (Å): 3.2442 3.2442 9.0907
angles (deg): 79.72 79.72 60.00
With the nearest neighbours (Å) after each atom.
Positions (direct):
Lu  0.1156  0.1156  0.6531  3 O 2.32
Lu  0.8844  0.8844  0.3469  3 O 2.32
Hf  0.0000  0.0000  0.0000  2 Lu 3.09, 6 Hf 3.24
O  0.5000  0.5000  0.5000  6 Lu 2.32

Properties
total magnetic moment	0.0	μB per cell
energy above the lowest structure with this stoichiometry	0.0	meV per atom
crystal system	trigonal
E_tot	-7.051	eV/atom
uncorrected formation energy	-1062	meV/atom

[4]
This record from Alexandria describes TaNb3Tc after structural relaxation. The functional is GGA-PBE.

a b c (Å): 5.0128 5.3517 7.7402
angles (deg): 112.80 71.13 89.92
With the nearest neighbours (Å) after each atom.
Positions (direct):
Ta  0.6891  0.5674  0.1218  2 Ta 2.99, 8 Nb 3.00-3.29, 4 Tc 3.06-3.07
Ta  0.3109  0.4326  0.8782  2 Ta 2.99, 8 Nb 3.00-3.29, 4 Tc 3.06-3.07
Nb  0.9003  0.5573  0.6988  3 Nb 2.60-2.75, 2 Tc 2.78-2.79
Nb  0.4651  0.7810  0.5697  4 Nb 2.75-2.92, 1 Ta 3.00
Nb  0.0997  0.4427  0.3012  3 Nb 2.60-2.75, 2 Tc 2.78-2.79
Nb  0.5349  0.2190  0.4304  4 Nb 2.75-2.92, 1 Ta 3.00
Nb  0.1025  0.9255  0.2957  5 Nb 2.60-2.91, 2 Tc 2.67
Nb  0.8975  0.0745  0.7043  5 Nb 2.60-2.91, 2 Tc 2.67
Tc  0.0000  0.0000  0.0000  2 Tc 2.51, 4 Nb 2.67-2.79
Tc  0.5000  0.0000  0.0000  2 Tc 2.51, 4 Nb 2.67-2.78

Properties
total magnetic moment	0.0	μB per cell
energy above the lowest structure with this stoichiometry	0.0	meV per atom
crystal system	triclinic
formation energy from the elements	0.01	eV/atom
E_tot	-10.476	eV/atom

[5]
This record from Alexandria describes CeSmTh after structural relaxation. The functional is GGA-PBE.

a b c (Å): 3.5466 3.5466 7.9165
angles (deg): 102.94 102.94 90.00
With the nearest neighbours (Å) after each atom.
Positions (direct):
Ce  0.3272  0.3272  0.6544  4 Th 3.44, 4 Ce 3.55, 4 Sm 3.63
Sm  0.0021  0.0021  0.0042  4 Sm 3.55, 4 Th 3.56, 4 Ce 3.63
Th  0.6707  0.6707  0.3414  4 Ce 3.44, 4 Th 3.55, 4 Sm 3.56

Properties
total magnetic moment	0.3	μB per cell
energy above the lowest structure with this stoichiometry	21.8	meV per atom
crystal system	tetragonal
formation energy from the elements	0.07	eV/atom
E_tot	-5.958	eV/atom

[6]
This record from Alexandria describes SmTm5Te4 after structural relaxation. The functional is GGA-PBE.

a b c (Å): 4.1194 8.5049 9.3317
angles (deg): 103.26 102.75 90.00
With the nearest neighbours (Å) after each atom.
Positions (direct):
Sm  0.5000  0.0000  0.0000  6 Te 3.02-3.04
Tm  0.1928  0.3574  0.3857  3 Te 3.12-3.20, 2 Tm 3.48
Tm  0.1601  0.7767  0.3202  4 Te 3.05-3.15
Tm  0.8399  0.2233  0.6798  4 Te 3.05-3.15
Tm  0.5000  0.5000  0.0000  4 Te 2.93
Tm  0.8072  0.6426  0.6143  3 Te 3.12-3.20, 2 Tm 3.48
Te  0.6715  0.0622  0.3431  1 Sm 3.04, 5 Tm 3.05-3.20
Te  0.0164  0.2659  0.0329  4 Tm 2.93-3.15, 2 Sm 3.02
Te  0.3285  0.9378  0.6569  1 Sm 3.04, 5 Tm 3.05-3.20
Te  0.9836  0.7341  0.9671  4 Tm 2.93-3.15, 2 Sm 3.02

Properties
total magnetic moment	0.0	μB per cell
crystal system	monoclinic
E_tot	-4.808	eV/atom
uncorrected formation energy	-844	meV/atom

[7]
This record from Alexandria describes Ac7Pr2Sm2 after structural relaxation. The functional is GGA-PBE.

a b c (Å): 9.3838 7.1044 7.1044
angles (deg): 93.78 81.69 81.69
With the nearest neighbours (Å) after each atom.
Positions (direct):
Ac  0.2007  0.0852  0.4601  3 Pr 3.67-3.81, 2 Sm 3.72-3.92, 5 Ac 3.89-4.09
Ac  0.7993  0.5399  0.9148  3 Pr 3.67-3.81, 2 Sm 3.72-3.92, 5 Ac 3.89-4.09
Ac  0.7993  0.9148  0.5399  3 Pr 3.67-3.81, 2 Sm 3.72-3.92, 5 Ac 3.89-4.09
Ac  0.2007  0.4601  0.0852  3 Pr 3.67-3.81, 2 Sm 3.72-3.92, 5 Ac 3.89-4.09
Ac  0.0000  0.0000  0.0000  2 Pr 3.75, 10 Ac 3.89-4.14
Ac  0.4175  0.8422  0.8422  1 Pr 3.69, 6 Ac 3.71-4.02, 4 Sm 3.71-3.86
Ac  0.5825  0.1578  0.1578  1 Pr 3.69, 6 Ac 3.71-4.02, 4 Sm 3.71-3.86
Pr  0.8472  0.3899  0.3899  8 Ac 3.67-3.81, 2 Sm 3.68, 1 Pr 3.92
Pr  0.1528  0.6101  0.6101  8 Ac 3.67-3.81, 2 Sm 3.68, 1 Pr 3.92
Sm  0.5000  0.3265  0.6735  1 Sm 3.60, 2 Pr 3.68, 8 Ac 3.71-3.92
Sm  0.5000  0.6735  0.3265  1 Sm 3.60, 2 Pr 3.68, 8 Ac 3.71-3.92

Properties
total magnetic moment	0.0	μB per cell
energy above the lowest structure with this stoichiometry	0.0	meV per atom
crystal system	monoclinic
formation energy from the elements	0.09	eV/atom
E_tot	-4.249	eV/atom

[8]
This record from Alexandria describes Li2Br after structural relaxation. The functional is GGA-PBE.

a b c (Å): 4.2580 4.2580 3.6928
angles (deg): 90.00 90.00 90.00
With the nearest neighbours (Å) after each atom.
Positions (direct):
Br  0.0000  0.0000  0.0000  8 Li 2.82
Li  0.0000  0.5000  0.5000  4 Br 2.82, 4 Li 3.01
Li  0.5000  0.0000  0.5000  4 Br 2.82, 4 Li 3.01

Properties
total magnetic moment	0.9	μB per cell
crystal system	tetragonal
E_tot	-2.537	eV/atom
uncorrected formation energy	-703	meV/atom